{
  "formula": "CuRuRh2",
  "functional": "PBE",
  "state": "relaxed",
  "cell": [[2.666, 0.001, 0.000], [-1.279, 2.340, 0.000], [0.000, 0.000, 9.010]],
  "species": ["Cu", "Ru", "Rh", "Rh"],
  "fractional_positions": [[0.500, 0.500, 0.750], [0.500, 0.500, 0.250], [0.000, 0.000, 0.997], [0.000, 0.000, 0.503]],
  "n_ef_per_ev_cell": 5.83,
  "e_above_lowest_polymorph_kcal_per_mol_atoms": 5.10,
  "sg": "Cmmm (65)",
  "rho_g_cm3": 10.9,
  "total_magnetization_mub_per_fu": 0.5,
  "delta_e_f_ev_per_fu": 1.0
}



{
  "formula": "DyErSn",
  "functional": "PBE",
  "state": "relaxed",
  "cell": [[2.927, -4.810, 6.298], [-0.833, -2.794, -1.747], [5.656, -4.452, 4.424]],
  "species": ["Sn", "Er", "Dy"],
  "fractional_positions": [[0.619, 0.500, 0.619], [0.282, 0.500, 0.282], [0.457, 0.000, 0.457]],
  "n_ef_per_ev_cell": 3.62,
  "e_above_lowest_polymorph_kcal_per_mol_atoms": 15.21,
  "sg": "Amm2 (38)",
  "rho_g_cm3": 7.9,
  "total_magnetization_mub_per_fu": 0.1,
  "delta_e_f_ev_per_fu": 0.2
}



{
  "formula": "Tc2PdI",
  "functional": "PBE",
  "state": "relaxed",
  "cell": [[-1.135, 4.316, 3.358], [-2.911, -3.380, 3.361], [3.088, -0.711, 6.602]],
  "species": ["Pd", "Pd", "Tc", "Tc", "I", "Tc", "I", "Tc"],
  "fractional_positions": [[0.250, 0.750, 0.500], [0.500, 0.500, 0.000], [0.875, 0.858, 0.750], [0.608, 0.125, 0.250], [0.000, 0.000, 0.000], [0.142, 0.625, 0.250], [0.750, 0.250, 0.500], [0.375, 0.392, 0.750]],
  "formation_energy_uncorrected_ev_per_atom": 1.42,
  "n_ef_per_ev_cell": 10.70,
  "e_above_lowest_polymorph_kcal_per_mol_atoms": 15.55,
  "sg": "I-42d (122)",
  "rho_g_cm3": 7.4,
  "total_magnetization_mub_per_fu": 0.0
}



{
  "formula": "TbPmHo2Tm2",
  "functional": "PBE",
  "state": "relaxed",
  "cell": [[3.506, 0.000, 0.000], [0.000, 15.952, 0.000], [0.000, 0.000, 6.928]],
  "species": ["Tb", "Tm", "Ho", "Tb", "Tm", "Ho", "Tm", "Ho", "Pm", "Pm", "Ho", "Tm"],
  "fractional_positions": [[0.500, 0.500, 0.000], [0.000, 0.656, 0.250], [0.500, 0.158, 0.749], [0.000, 0.000, 0.500], [0.000, 0.344, 0.750], [0.000, 0.658, 0.751], [0.500, 0.156, 0.250], [0.000, 0.342, 0.249], [0.500, 0.500, 0.500], [0.000, 0.000, 0.000], [0.500, 0.842, 0.251], [0.500, 0.844, 0.750]],
  "n_ef_per_ev_cell": 18.32,
  "sg": "Pnnm (58)",
  "rho_g_cm3": 8.3,
  "total_magnetization_mub_per_fu": 0.0,
  "delta_e_f_ev_per_fu": 1.0
}



{
  "formula": "CsTlAg2Rh",
  "functional": "PBE",
  "state": "relaxed",
  "cell": [[-5.044, 0.546, 1.846], [0.909, -3.888, 3.634], [1.645, 3.593, 3.433]],
  "species": ["Rh", "Ag", "Cs", "Ag", "Tl"],
  "fractional_positions": [[0.000, 0.000, 0.000], [0.000, 0.500, 0.000], [0.500, 0.500, 0.500], [0.500, 0.000, 0.000], [0.000, 0.000, 0.500]],
  "n_ef_per_ev_cell": 3.39,
  "sg": "P4/mmm (123)",
  "rho_g_cm3": 7.1,
  "total_magnetization_mub_per_fu": 0.0,
  "delta_e_f_ev_per_fu": 1.2
}



{
  "formula": "ThSc2Cu2Ge2",
  "functional": "PBE",
  "state": "relaxed",
  "cell": [[-2.742, -0.846, 3.120], [-0.234, -3.913, 1.613], [5.155, 0.506, 7.547]],
  "species": ["Cu", "Ge", "Th", "Sc", "Ge", "Cu", "Sc"],
  "fractional_positions": [[0.590, 0.590, 0.230], [0.747, 0.747, 0.758], [0.000, 0.000, 0.000], [0.132, 0.132, 0.605], [0.253, 0.253, 0.242], [0.410, 0.410, 0.770], [0.868, 0.868, 0.395]],
  "n_ef_per_ev_cell": 4.51,
  "sg": "R-3m (166)",
  "rho_g_cm3": 7.2,
  "total_magnetization_mub_per_fu": 0.0,
  "delta_e_f_ev_per_fu": -3.3
}



{
  "formula": "SmCdAg",
  "functional": "PBE",
  "state": "relaxed",
  "cell": [[-2.881, 1.528, -0.880], [-2.468, -4.240, 0.718], [0.558, 3.207, 3.739]],
  "species": ["Ag", "Sm", "Cd"],
  "fractional_positions": [[0.167, 0.333, 0.667], [0.667, 0.667, 0.333], [0.166, 0.000, 0.000]],
  "n_ef_per_ev_cell": 1.78,
  "sg": "P-6m2 (187)",
  "rho_g_cm3": 8.6,
  "total_magnetization_mub_per_fu": 0.1,
  "delta_e_f_ev_per_fu": -0.9
}



{
  "formula": "Na2Tc2N3",
  "functional": "PBE",
  "state": "relaxed",
  "cell": [[3.269, 0.000, -0.943], [-0.985, 4.572, -3.412], [0.232, -0.232, 6.937]],
  "species": ["Na", "Tc", "N", "N", "Na", "Tc", "N"],
  "fractional_positions": [[0.604, 0.368, 0.209], [0.845, 0.103, 0.691], [0.000, 0.500, 0.000], [0.692, 0.119, 0.384], [0.396, 0.632, 0.791], [0.155, 0.897, 0.309], [0.308, 0.881, 0.616]],
  "formation_energy_uncorrected_ev_per_atom": -0.13,
  "n_ef_per_ev_cell": 2.46,
  "sg": "C2/m (12)",
  "rho_g_cm3": 4.6,
  "total_magnetization_mub_per_fu": 0.0
}